[1]
SrNi5Sn2: optimized geometry, PBE.

Values from the calculation:
formation enthalpy at 0 K	-128.2	meV/atom
calculated total energy	-39.62	eV/cell
SG	Immm

a = 6.5071 Å, b = 6.5071 Å, c = 6.5071 Å
α = 144.91°, β = 117.76°, γ = 73.49°
Fractional positions:
Sr 0.0000 0.0000 0.0000
Ni 0.2009 0.3807 0.8202
Ni 0.4395 0.6193 0.8202
Ni 0.5000 0.0000 0.5000
Ni 0.5605 0.3807 0.1798
Ni 0.7991 0.6193 0.1798
Sn 0.2564 0.7564 0.5000
Sn 0.7436 0.2436 0.5000

[2]
Sr2Ni3Sn4: optimized geometry, PBE.

Values from the calculation:
formation enthalpy at 0 K	-322.6	meV/atom
calculated total energy	-39.62	eV/cell
SG	Fmmm

a = 8.5145 Å, b = 7.3184 Å, c = 6.0147 Å
α = 78.71°, β = 57.45°, γ = 43.85°
Fractional positions:
Sr 0.1314 0.1314 0.8686
Sr 0.8686 0.8686 0.1314
Ni 0.0000 0.0000 0.5000
Ni 0.5000 0.5000 0.0000
Ni 0.5000 0.5000 0.5000
Sn 0.1832 0.5255 0.4745
Sn 0.4745 0.8168 0.1832
Sn 0.5255 0.1832 0.8168
Sn 0.8168 0.4745 0.5255

[3]
SrNi2Sn: optimized geometry, PBE.

Values from the calculation:
formation enthalpy at 0 K	-25.1	meV/atom
calculated total energy	-34.70	eV/cell
SG	I-42d

a = 9.2260 Å, b = 9.2260 Å, c = 9.2260 Å
α = 149.49°, β = 149.49°, γ = 43.68°
Fractional positions:
Sr 0.0000 0.0000 0.0000
Sr 0.7500 0.2500 0.5000
Ni 0.3494 0.6250 0.2244
Ni 0.3750 0.5994 0.7244
Ni 0.4006 0.1250 0.7756
Ni 0.8750 0.6506 0.2756
Sn 0.2500 0.7500 0.5000
Sn 0.5000 0.5000 0.0000

[4]
Sr3Ni6Sn5: optimized geometry, PBE.

Values from the calculation:
formation enthalpy at 0 K	-329.5	meV/atom
calculated total energy	-128.72	eV/cell
SG	Pmmn

a = 4.3840 Å, b = 12.9357 Å, c = 10.6025 Å
α = 90.00°, β = 90.00°, γ = 90.00°
Fractional positions:
Sr 0.2500 0.0906 0.2461
Sr 0.2500 0.4094 0.2461
Sr 0.2500 0.7500 0.2548
Sr 0.7500 0.2500 0.7452
Sr 0.7500 0.5906 0.7539
Sr 0.7500 0.9094 0.7539
Ni 0.2500 0.0663 0.8891
Ni 0.2500 0.2500 0.5148
Ni 0.2500 0.2500 0.9767
Ni 0.2500 0.4337 0.8891
Ni 0.2500 0.5762 0.4895
Ni 0.2500 0.9238 0.4895
Ni 0.7500 0.0762 0.5105
Ni 0.7500 0.4238 0.5105
Ni 0.7500 0.5663 0.1109
Ni 0.7500 0.7500 0.0233
Ni 0.7500 0.7500 0.4852
Ni 0.7500 0.9337 0.1109
Sn 0.2500 0.0783 0.6378
Sn 0.2500 0.4217 0.6378
Sn 0.2500 0.6204 0.9920
Sn 0.2500 0.7500 0.6022
Sn 0.2500 0.8796 0.9920
Sn 0.7500 0.1204 0.0080
Sn 0.7500 0.2500 0.3978
Sn 0.7500 0.3796 0.0080
Sn 0.7500 0.5783 0.3622
Sn 0.7500 0.9217 0.3622

[5]
Sr2Ni3Sn5: optimized geometry, PBE.

Values from the calculation:
formation enthalpy at 0 K	-419.8	meV/atom
calculated total energy	-89.84	eV/cell
SG	Ibam
excess energy over the best structure of this formula in the dataset	0.0	meV/atom

a = 9.0388 Å, b = 9.0388 Å, c = 9.0388 Å
α = 106.00°, β = 88.95°, γ = 137.97°
Fractional positions:
Sr 0.1413 0.2408 0.3822
Sr 0.3587 0.7408 0.0995
Sr 0.6413 0.2592 0.9005
Sr 0.8587 0.7592 0.6178
Ni 0.1305 0.8880 0.0184
Ni 0.2500 0.7500 0.5000
Ni 0.3695 0.3880 0.7575
Ni 0.6305 0.6120 0.2425
Ni 0.7500 0.2500 0.5000
Ni 0.8695 0.1120 0.9816
Sn 0.0082 0.7500 0.2582
Sn 0.0921 0.6566 0.7487
Sn 0.2500 0.2500 0.0000
Sn 0.4079 0.1566 0.5645
Sn 0.4918 0.7500 0.7418
Sn 0.5082 0.2500 0.2582
Sn 0.5921 0.8434 0.4355
Sn 0.7500 0.7500 0.0000
Sn 0.9079 0.3434 0.2513
Sn 0.9918 0.2500 0.7418

[6]
SrNi3Sn2: optimized geometry, PBE.

Values from the calculation:
formation enthalpy at 0 K	-300.7	meV/atom
calculated total energy	-57.67	eV/cell
SG	C2/m

a = 8.5146 Å, b = 8.5146 Å, c = 7.6075 Å
α = 115.79°, β = 115.79°, γ = 29.73°
Fractional positions:
Sr 0.1541 0.1541 0.0939
Sr 0.8459 0.8459 0.9061
Ni 0.0078 0.0078 0.6612
Ni 0.3006 0.3006 0.5387
Ni 0.4142 0.4142 0.3781
Ni 0.5858 0.5858 0.6219
Ni 0.6994 0.6994 0.4613
Ni 0.9922 0.9922 0.3388
Sn 0.1654 0.1654 0.6179
Sn 0.4737 0.4737 0.7794
Sn 0.5263 0.5263 0.2206
Sn 0.8346 0.8346 0.3821